Compound: HfInTe3
Source: Alexandria
Functional: PBE
Structure: optimized geometry

For the formation energy (no corrections), the calculation gives -0.314 eV/atom.

abc: 5.610 5.610 5.610
angles: 90.00 90.00 90.00
Space group Pm-3m (No. 221)
Symmetry-distinct sites (fractional):
Hf  0.000  0.000  0.000 [1 per cell]
In  0.500  0.500  0.500 [1 per cell]
Te  0.000  0.000  0.500 [3 per cell]

---

Compound: HfIn2Te
Source: Alexandria
Functional: PBE
Structure: optimized geometry

For the formation energy (no corrections), the calculation gives 0.182 eV/atom.

abc: 8.457 8.457 5.977
angles: 90.00 90.00 90.00
Space group I-42d (No. 122)
Symmetry-distinct sites (fractional):
Hf  0.000  0.000  0.000 [4 per cell]
In  0.234  0.250  0.125 [8 per cell]
Te  0.000  0.000  0.500 [4 per cell]

---

Compound: Hf4InTe
Source: Alexandria
Functional: PBE
Structure: optimized geometry

For the formation energy (no corrections), the calculation gives -0.075 eV/atom.

abc: 5.136 19.781 5.938
angles: 90.00 90.00 90.00
Space group Cmcm (No. 63)
Symmetry-distinct sites (fractional):
Hf  0.000  0.073  0.250 [4 per cell]
Hf  0.000  0.208  0.002 [8 per cell]
Hf  0.000  0.353  0.250 [4 per cell]
In  0.000  0.350  0.750 [4 per cell]
Te  0.000  0.073  0.750 [4 per cell]

---

Compound: HfInTe3
Source: Alexandria
Functional: PBE
Structure: optimized geometry

For the formation energy (no corrections), the calculation gives -0.472 eV/atom.

abc: 18.462 4.292 8.076
angles: 90.00 104.36 90.00
Space group C2/m (No. 12)
Symmetry-distinct sites (fractional):
Hf  0.212  0.000  0.240 [4 per cell]
In  0.032  0.500  0.686 [4 per cell]
Te  0.053  0.000  0.192 [4 per cell]
Te  0.171  0.500  0.974 [4 per cell]
Te  0.186  0.000  0.593 [4 per cell]

---

Compound: HfInTe3
Source: Alexandria
Functional: PBE
Structure: optimized geometry

For the formation energy (no corrections), the calculation gives 0.731 eV/atom.

abc: 5.512 5.512 5.512
angles: 90.00 90.00 90.00
Space group Pm-3m (No. 221)
Symmetry-distinct sites (fractional):
Hf  0.000  0.000  0.000 [1 per cell]
In  0.500  0.500  0.500 [1 per cell]
Te  0.000  0.500  0.500 [3 per cell]

---

Compound: HfIn3Te4
Source: Alexandria
Functional: PBE
Structure: optimized geometry

For the formation energy (no corrections), the calculation gives -0.327 eV/atom.

abc: 12.925 6.265 6.428
angles: 90.00 90.00 90.00
Space group Pmn2_1 (No. 31)
Symmetry-distinct sites (fractional):
Hf  0.000  0.212  0.000 [2 per cell]
In  0.000  0.748  0.459 [2 per cell]
In  0.250  0.242  0.422 [4 per cell]
Te  0.000  0.244  0.431 [2 per cell]
Te  0.000  0.760  0.974 [2 per cell]
Te  0.218  0.254  0.927 [4 per cell]

---

Compound: HfTl3In2Te6
Source: Alexandria
Functional: PBE
Structure: optimized geometry

For the formation energy (no corrections), the calculation gives -0.429 eV/atom.

abc: 7.624 13.169 8.391
angles: 90.00 107.34 90.00
Space group C2/m (No. 12)
Symmetry-distinct sites (fractional):
Hf  0.000  0.000  0.000 [2 per cell]
Tl  0.000  0.171  0.500 [4 per cell]
Tl  0.000  0.500  0.500 [2 per cell]
In  0.000  0.335  0.000 [4 per cell]
Te  0.226  0.158  0.204 [8 per cell]
Te  0.246  0.000  0.791 [4 per cell]

---

Compound: HfTl2InTe5
Source: Alexandria
Functional: PBE
Structure: optimized geometry

For the formation energy (no corrections), the calculation gives -0.429 eV/atom.

abc: 4.113 20.224 15.090
angles: 90.00 90.00 90.00
Space group Cmc2_1 (No. 36)
Symmetry-distinct sites (fractional):
Hf  0.000  0.212  0.000 [4 per cell]
Tl  0.000  0.116  0.632 [4 per cell]
Tl  0.000  0.128  0.290 [4 per cell]
In  0.000  0.437  0.391 [4 per cell]
Te  0.000  0.060  0.020 [4 per cell]
Te  0.000  0.283  0.633 [4 per cell]
Te  0.000  0.297  0.359 [4 per cell]
Te  0.000  0.349  0.969 [4 per cell]
Te  0.000  0.495  0.733 [4 per cell]

---

Compound: HfU3In3Te8
Source: Alexandria
Functional: PBE
Structure: optimized geometry

For the formation energy (no corrections), the calculation gives -0.518 eV/atom.

abc: 8.4728 8.4728 25.1605
angles: 90.00 90.00 120.00
Space group R-3m (No. 166, hexagonal axes)
Symmetry-distinct sites (fractional):
Hf  0.0000  0.0000  0.0000 [3 per cell]
U  0.0000  0.5000  0.0000 [9 per cell]
In  0.0000  0.5000  0.5000 [9 per cell]
Te  0.0000  0.0000  0.2577 [6 per cell]
Te  0.0166  0.5083  0.7385 [18 per cell]

---

Compound: Y3HfIn3Te8
Source: Alexandria
Functional: PBE
Structure: optimized geometry

For the formation energy (no corrections), the calculation gives -0.947 eV/atom.

abc: 8.6487 8.6487 24.4640
angles: 90.00 90.00 120.00
Space group R-3m (No. 166, hexagonal axes)
Symmetry-distinct sites (fractional):
Y  0.0000  0.5000  0.0000 [9 per cell]
Hf  0.0000  0.0000  0.0000 [3 per cell]
In  0.0000  0.5000  0.5000 [9 per cell]
Te  0.0000  0.0000  0.2594 [6 per cell]
Te  0.0166  0.5083  0.7377 [18 per cell]

---

Compound: Hf2ZrInTe
Source: Alexandria
Functional: PBE
Structure: optimized geometry

For the formation energy (no corrections), the calculation gives 1.003 eV/atom.

abc: 5.230 5.230 5.320
angles: 90.00 90.00 90.00
Space group P4/mmm (No. 123)
Symmetry-distinct sites (fractional):
Hf  0.000  0.500  0.000 [2 per cell]
Zr  0.000  0.000  0.500 [1 per cell]
In  0.000  0.000  0.000 [1 per cell]
Te  0.500  0.500  0.500 [1 per cell]

---

Compound: HfThIn2
Source: Alexandria
Functional: PBE
Structure: optimized geometry

The calculation puts the calculated formation energy at -0.177 eV/atom.

abc: 3.332 3.332 8.951
angles: 90.00 90.00 90.00
Space group P4/mmm (No. 123)
Symmetry-distinct sites (fractional):
Hf  0.000  0.000  0.000 [1 per cell]
Th  0.000  0.000  0.500 [1 per cell]
In  0.500  0.500  0.227 [2 per cell]

---

Short version: size of the total moment = 0.00 0.00 0.00 0.00 0.00 0.00 0.00 0.00 0.60 0.00 0.00 0.00 μB per atom, in the order given.